Entry 1:
This record from OQMD describes a relaxed Lu2GaW crystal. The functional is GGA-PBE.

Structure (POSCAR):
```
Lu2GaW
1.0
6.839 0.000 0.000
0.000 6.839 0.000
0.000 0.000 6.839
Lu Ga W
8 4 4
Cartesian
0.000 0.000 0.000 Lu
0.000 3.419 3.419 Lu
1.710 1.710 1.710 Lu
1.710 5.129 5.129 Lu
3.419 0.000 3.419 Lu
3.419 3.419 0.000 Lu
5.129 1.710 5.129 Lu
5.129 5.129 1.710 Lu
0.000 0.000 3.419 Ga
0.000 3.419 0.000 Ga
3.419 0.000 0.000 Ga
3.419 3.419 3.419 Ga
1.710 1.710 5.129 W
1.710 5.129 1.710 W
5.129 1.710 1.710 W
5.129 5.129 5.129 W
```

space-group type	No. 216
VASP energy	-5.988	eV per atom

---

Entry 2:
This record from OQMD describes a relaxed YLu2Ga crystal. The functional is GGA-PBE.

Structure (POSCAR):
```
YLu2Ga
1.0
7.422 0.000 0.000
0.000 7.422 0.000
0.000 0.000 7.422
Y Lu Ga
4 8 4
Cartesian
0.000 0.000 0.000 Y
0.000 3.711 3.711 Y
3.711 0.000 3.711 Y
3.711 3.711 0.000 Y
0.000 0.000 3.711 Lu
0.000 3.711 0.000 Lu
1.856 1.856 1.856 Lu
1.856 5.567 5.567 Lu
3.711 0.000 0.000 Lu
3.711 3.711 3.711 Lu
5.567 1.856 5.567 Lu
5.567 5.567 1.856 Lu
1.856 1.856 5.567 Ga
1.856 5.567 1.856 Ga
5.567 1.856 1.856 Ga
5.567 5.567 5.567 Ga
```

space-group type	No. 216
VASP energy	-4.720	eV per atom

---

Entry 3:
This record from OQMD describes a relaxed Y2LuGa crystal. The functional is GGA-PBE.

Structure (POSCAR):
```
Y2LuGa
1.0
7.482 0.000 0.000
0.000 7.482 0.000
0.000 0.000 7.482
Y Lu Ga
8 4 4
Cartesian
0.000 0.000 0.000 Y
0.000 3.741 3.741 Y
1.870 1.870 1.870 Y
1.870 5.611 5.611 Y
3.741 0.000 3.741 Y
3.741 3.741 0.000 Y
5.611 1.870 5.611 Y
5.611 5.611 1.870 Y
1.870 1.870 5.611 Lu
1.870 5.611 1.870 Lu
5.611 1.870 1.870 Lu
5.611 5.611 5.611 Lu
0.000 0.000 3.741 Ga
0.000 3.741 0.000 Ga
3.741 0.000 0.000 Ga
3.741 3.741 3.741 Ga
```

space-group type	No. 216
VASP energy	-5.163	eV per atom

---

Entry 4:
This record from OQMD describes a relaxed Lu2Zn2Ga crystal. The functional is GGA-PBE.

Structure (POSCAR):
```
Lu2Zn2Ga
1.0
4.716 0.000 0.000
-2.358 4.084 0.000
0.000 0.000 11.137
Lu Zn Ga
4 4 2
Cartesian
0.000 0.000 0.000 Lu
0.000 0.000 5.569 Lu
0.000 2.723 2.784 Lu
2.358 1.361 8.353 Lu
0.000 2.723 6.785 Zn
0.000 2.723 9.920 Zn
2.358 1.361 1.217 Zn
2.358 1.361 4.352 Zn
0.000 0.000 2.784 Ga
0.000 0.000 8.353 Ga
```

space-group type	No. 194
VASP energy	-3.147	eV per atom

---

Entry 5:
This record from OQMD describes a relaxed LuZnGa crystal. The functional is GGA-PBE.

Structure (POSCAR):
```
LuZnGa
1.0
6.570 0.000 0.000
0.000 6.570 0.000
0.000 0.000 6.570
Lu Zn Ga
4 4 4
Cartesian
0.000 0.000 0.000 Lu
0.000 3.285 3.285 Lu
3.285 0.000 3.285 Lu
3.285 3.285 0.000 Lu
1.643 1.643 4.928 Zn
1.643 4.928 1.643 Zn
4.928 1.643 1.643 Zn
4.928 4.928 4.928 Zn
1.643 1.643 1.643 Ga
1.643 4.928 4.928 Ga
4.928 1.643 4.928 Ga
4.928 4.928 1.643 Ga
```

space-group type	No. 216
VASP energy	-2.853	eV per atom

---

Entry 6:
This record from OQMD describes a relaxed LuZrGa2 crystal. The functional is GGA-PBE.

Structure (POSCAR):
```
LuZrGa2
1.0
6.929 0.000 0.000
0.000 6.929 0.000
0.000 0.000 6.929
Lu Zr Ga
4 4 8
Cartesian
0.000 0.000 0.000 Lu
0.000 3.464 3.464 Lu
3.464 0.000 3.464 Lu
3.464 3.464 0.000 Lu
1.732 1.732 1.732 Zr
1.732 5.196 5.196 Zr
5.196 1.732 5.196 Zr
5.196 5.196 1.732 Zr
0.000 0.000 3.464 Ga
0.000 3.464 0.000 Ga
1.732 1.732 5.196 Ga
1.732 5.196 1.732 Ga
3.464 0.000 0.000 Ga
3.464 3.464 3.464 Ga
5.196 1.732 1.732 Ga
5.196 5.196 5.196 Ga
```

space-group type	No. 216
VASP energy	-4.668	eV per atom

---

Entry 7:
This record from OQMD describes a relaxed LuZrGa crystal. The functional is GGA-PBE.

Structure (POSCAR):
```
LuZrGa
1.0
6.810 0.000 0.000
0.000 6.810 0.000
0.000 0.000 6.810
Lu Zr Ga
4 4 4
Cartesian
0.000 0.000 0.000 Lu
0.000 3.405 3.405 Lu
3.405 0.000 3.405 Lu
3.405 3.405 0.000 Lu
1.702 1.702 5.107 Zr
1.702 5.107 1.702 Zr
5.107 1.702 1.702 Zr
5.107 5.107 5.107 Zr
0.000 0.000 3.405 Ga
0.000 3.405 0.000 Ga
3.405 0.000 0.000 Ga
3.405 3.405 3.405 Ga
```

E above lowest polymorph	0	kJ/mol of formula units
space-group type	No. 216

---

Entry 8:
This record from OQMD describes a relaxed MgGa2Mo crystal. The functional is GGA-PBE.

Structure (POSCAR):
```
MgGa2Mo
1.0
6.412 0.000 0.000
0.000 6.412 0.000
0.000 0.000 6.412
Mg Ga Mo
4 8 4
Cartesian
0.000 0.000 0.000 Mg
0.000 3.206 3.206 Mg
3.206 0.000 3.206 Mg
3.206 3.206 0.000 Mg
0.000 0.000 3.206 Ga
0.000 3.206 0.000 Ga
1.603 1.603 1.603 Ga
1.603 4.809 4.809 Ga
3.206 0.000 0.000 Ga
3.206 3.206 3.206 Ga
4.809 1.603 4.809 Ga
4.809 4.809 1.603 Ga
1.603 1.603 4.809 Mo
1.603 4.809 1.603 Mo
4.809 1.603 1.603 Mo
4.809 4.809 4.809 Mo
```

space-group type	No. 216
VASP energy	-4.207	eV per atom

---

Number 1: spin magnetization 0.266 μB per atom. Number 2: spin magnetization 0.178 μB per atom. Number 3: spin magnetization 0.263 μB per atom. Number 4: spin magnetization 0.005 μB per atom. Number 5: spin magnetization 0.001 μB per atom. Number 6: spin magnetization 0.007 μB per atom. Number 7: spin magnetization 0.069 μB per atom. Number 8: spin magnetization 0.004 μB per atom.